A relaxed Ti2FeCl crystal, computed with PBE-GGA.

Geometry as POSCAR:
```
Ti2FeCl
1.0
6.2659 0.0000 0.0000
0.0000 6.2659 0.0000
3.1329 3.1329 3.3679
Ti Cl Fe
4 2 2
Direct
0.6378 0.1250 0.2500
0.8750 0.8878 0.7500
0.1122 0.6250 0.2500
0.3750 0.3622 0.7500
0.2500 0.7500 0.5000
0.5000 0.5000 0.0000
0.7500 0.2500 0.5000
0.0000 0.0000 0.0000
```

ΔE_f (raw) ... 0.124 eV per atom
Excess energy over the best structure of this formula in the dataset ... 0 meV per atom
Space-group type ... No. 122